(1)
Fe2NiPb: optimized geometry, PBE.

Summary:
- total DFT energy (no corrections) (eV/atom) = -6.16
- ρ (Mg/m³) = 10.940
- spin magnetization (μB per formula unit) = 5.4
- SG = F-43m

```
Fe2NiPb
1.0
0.000 3.060 3.060
3.060 0.000 3.060
3.060 3.060 0.000
Fe Ni Pb
2 1 1
Cartesian
0.000 0.000 0.000
1.530 1.530 1.530
3.060 3.060 3.060
4.590 4.590 4.590
```



(2)
Ba2CuSiGe2: optimized geometry, PBE.

Summary:
- total DFT energy (no corrections) (eV/atom) = -4.18
- ρ (Mg/m³) = 5.354
- SG = Fmmm

```
Ba2CuSiGe2
1.0
0.000 4.994 7.412
4.287 0.000 7.412
4.287 4.994 0.000
Ba Cu Si Ge
4 2 2 4
Cartesian
4.287 2.438 7.412
2.143 2.497 3.706
6.430 7.491 11.118
4.287 7.550 7.412
4.287 4.994 4.897
4.287 4.994 9.927
4.287 4.994 2.498
4.287 4.994 12.326
6.412 4.994 6.139
6.412 4.994 8.685
2.162 4.994 6.139
2.162 4.994 8.685
```



(3)
Cs2Tm2O5: optimized geometry, PBE.

Summary:
- total DFT energy (no corrections) (eV/atom) = -6.16
- ρ (Mg/m³) = 6.397
- spin magnetization (μB per formula unit) = 2.0
- SG = P4/mmm

```
Cs2Tm2O5
1.0
4.286 0.000 0.000
0.000 4.286 0.000
0.000 0.000 9.663
Cs Tm O
2 2 5
Cartesian
0.000 0.000 0.000
0.000 0.000 4.832
2.143 2.143 2.089
2.143 2.143 7.574
0.000 2.143 2.613
0.000 2.143 7.050
2.143 0.000 2.613
2.143 0.000 7.050
2.143 2.143 0.000
```



(4)
Tm4Lu3Te2Pd2: optimized geometry, PBE.

Summary:
- total DFT energy (no corrections) (eV/atom) = -5.22
- ρ (Mg/m³) = 9.718
- spin magnetization (μB per formula unit) = 0.0
- SG = Imm2

```
Tm4Lu3Te2Pd2
1.0
-1.943 7.708 4.760
1.943 -7.708 4.760
1.943 7.708 -4.760
Tm Lu Te Pd
4 3 2 2
Cartesian
0.000 2.011 0.000
1.943 -2.212 3.331
1.943 2.212 3.331
0.000 13.405 0.000
0.000 4.890 1.992
0.000 0.000 5.547
0.000 10.527 1.992
0.000 0.000 2.328
0.000 7.708 3.314
1.943 4.073 0.144
0.000 3.635 4.904
```



(5)
GdGeIr: optimized geometry, PBE.

Summary:
- total DFT energy (no corrections) (eV/atom) = -5.88
- ρ (Mg/m³) = 9.912
- spin magnetization (μB per formula unit) = 0.0
- SG = F-43m

```
GdGeIr
1.0
0.000 3.282 3.282
3.282 0.000 3.282
3.282 3.282 0.000
Gd Ge Ir
1 1 1
Cartesian
0.000 0.000 0.000
4.923 4.923 4.923
1.641 1.641 1.641
```



(6)
Nb6SnSb: optimized geometry, PBE.

Summary:
- total DFT energy (no corrections) (eV/atom) = -8.82
- ρ (Mg/m³) = 8.829
- spin magnetization (μB per formula unit) = 0.0
- SG = Pm-3

```
Nb6SnSb
1.0
5.314 0.000 0.000
0.000 5.314 0.000
0.000 0.000 5.314
Nb Sn Sb
6 1 1
Cartesian
0.000 1.314 2.657
0.000 4.000 2.657
1.314 2.657 0.000
2.657 0.000 1.314
2.657 0.000 4.000
4.000 2.657 0.000
2.657 2.657 2.657
0.000 0.000 0.000
```



(7)
TlReAu3Se4: optimized geometry, PBE.

Summary:
- total DFT energy (no corrections) (eV/atom) = -4.11
- ρ (Mg/m³) = 8.387
- spin magnetization (μB per formula unit) = 2.0
- SG = P-43m

```
TlReAu3Se4
1.0
6.357 0.000 0.000
0.000 6.357 0.000
0.000 0.000 6.357
Tl Re Au Se
1 1 3 4
Cartesian
0.000 0.000 0.000
3.178 3.178 3.178
0.000 3.178 3.178
3.178 0.000 3.178
3.178 3.178 0.000
1.767 1.767 1.767
1.767 4.589 4.589
4.589 1.767 4.589
4.589 4.589 1.767
```



(8)
Gd2SnPt: optimized geometry, PBE.

Summary:
- total DFT energy (no corrections) (eV/atom) = -5.26
- ρ (Mg/m³) = 11.272
- spin magnetization (μB per formula unit) = 0.0
- SG = F-43m

```
Gd2SnPt
1.0
0.000 3.590 3.590
3.590 0.000 3.590
3.590 3.590 0.000
Gd Sn Pt
2 1 1
Cartesian
0.000 0.000 0.000
1.795 1.795 1.795
5.385 5.385 5.385
3.590 3.590 3.590
```



(9)
TcB3: optimized geometry, PBE.

Summary:
- total DFT energy (no corrections) (eV/atom) = -7.62
- ρ (Mg/m³) = 6.567
- energy above the most stable polymorph in this dataset (meV per atom) = 306
- spin magnetization (μB per formula unit) = 0.0
- SG = P-3m1

```
TcB3
1.0
2.861 0.000 0.000
-1.431 2.478 0.000
0.000 0.000 4.651
Tc B
1 3
Cartesian
0.000 0.000 0.000
0.000 0.000 2.326
0.000 1.652 3.099
1.431 0.826 1.552
```



(10)
PrCo3P2: optimized geometry, PBE.

Summary:
- total DFT energy (no corrections) (eV/atom) = -6.87
- ρ (Mg/m³) = 7.360
- energy above the most stable polymorph in this dataset (meV per atom) = 103
- spin magnetization (μB per formula unit) = 0.5
- SG = P-3m1

```
PrCo3P2
1.0
3.889 0.000 0.000
-1.945 3.368 0.000
0.000 0.000 6.539
Pr Co P
1 3 2
Cartesian
0.000 0.000 0.000
0.000 0.000 3.269
0.000 2.245 2.227
1.945 1.123 4.312
0.000 2.245 4.511
1.945 1.123 2.028
```



(11)
Pr2Sc2O5: optimized geometry, PBE.

Summary:
- total DFT energy (no corrections) (eV/atom) = -8.24
- ρ (Mg/m³) = 6.000
- energy above the most stable polymorph in this dataset (meV per atom) = 0
- spin magnetization (μB per formula unit) = 0.0
- SG = P4/mmm

```
Pr2Sc2O5
1.0
4.072 0.000 0.000
0.000 4.072 0.000
0.000 0.000 7.538
Pr Sc O
2 2 5
Cartesian
0.000 0.000 0.000
0.000 0.000 3.769
2.036 2.036 1.763
2.036 2.036 5.775
0.000 2.036 1.814
0.000 2.036 5.724
2.036 0.000 1.814
2.036 0.000 5.724
2.036 2.036 3.769
```



(12)
Pr2Ga2BrCl: optimized geometry, PBE.

Summary:
- total DFT energy (no corrections) (eV/atom) = -4.53
- ρ (Mg/m³) = 5.108
- spin magnetization (μB per formula unit) = 0.0
- SG = P3m1

```
Pr2Ga2BrCl
1.0
4.242 0.000 0.000
-2.121 3.673 0.000
0.000 0.000 11.197
Pr Ga Br Cl
2 2 1 1
Cartesian
0.000 0.000 0.000
0.000 0.000 4.313
0.000 2.449 2.450
2.121 1.224 1.836
0.000 2.449 9.377
2.121 1.224 5.924
```



- total DFT energy (no corrections) of number 1 (Fe2NiPb)?
  -6.16 eV/atom



- total DFT energy (no corrections) of number 7 (TlReAu3Se4)?
  -4.11 eV/atom



- Which value of total DFT energy (no corrections) does entry 11 give?
  -8.24 eV/atom



- Look up the total DFT energy (no corrections) of the sixth one.
  -8.82 eV/atom